An optimized crystal structure of TbFe3Co. Source: the Alexandria database, functional PBE-GGA.

Summary:
energy relative to the elements	0.220	eV/atom
density	8.44	g cm⁻³

a b c (Å): 3.5741 4.9694 4.9694
angles (deg): 59.26 90.00 90.00
Positions (direct):
Tb 0.0000 0.0000 0.0000
Fe 0.0000 0.6650 0.6650
Fe 0.5000 0.0202 0.4951
Fe 0.5000 0.4951 0.0202
Co 0.5000 0.4931 0.4931